[1]
The following is a DFT calculation (PBE) of K2MoP after structural relaxation.

Results
The total magnetization comes out at 3.3 μB per cell. The value obtained for the electronic total energy is -3.7330 eV/atom.

abc: 4.6495 4.6495 5.2235
angles: 90.00 90.00 90.00
With the nearest neighbours (Å) after each atom.
Atoms (fractional coordinates):
K 0.0000 0.0000 0.2467  2 K 2.58-2.65
K 0.0000 0.0000 0.7533  2 K 2.58-2.65
Mo 0.5000 0.5000 0.5000  2 P 2.61
P 0.5000 0.5000 0.0000  2 Mo 2.61

[2]
The following is a DFT calculation (PBE) of TbTmPt after structural relaxation.

Results
The calculation puts the energy above the most stable polymorph in this dataset at 0.000 eV/atom. The total magnetization comes out at 0.0 μB per cell.

abc: 6.2232 6.2232 6.8291
angles: 90.00 90.00 144.54
With the nearest neighbours (Å) after each atom.
Atoms (fractional coordinates):
Tb 0.2120 0.7880 0.7500  2 Pt 2.82
Tb 0.7880 0.2120 0.2500  2 Pt 2.82
Tm 0.5000 0.5000 0.0000  4 Pt 2.88
Tm 0.5000 0.5000 0.5000  4 Pt 2.88
Pt 0.1119 0.8881 0.2500  2 Tb 2.82, 4 Tm 2.88
Pt 0.8881 0.1119 0.7500  2 Tb 2.82, 4 Tm 2.88